# 1
AcNdN: relaxed, PBE.

Computed properties:
Magnetization = 0.000 μB/atom
Uncorrected formation energy = -0.594 eV/atom
VASP energy = -6.328 eV per atom
Crystal system = tetragonal

The structure in POSCAR format:
```
AcNdN
1.0
-2.240 0.716 -2.744
-2.781 -1.235 1.948
1.431 6.756 2.974
Ac N Nd
1 1 1
Direct
0.035 0.035 0.071
0.486 0.486 0.973
0.328 0.328 0.656
```

***

# 2
AcNdN: relaxed, PBE.

Computed properties:
Magnetization = 0.000 μB/atom
Uncorrected formation energy = -0.129 eV/atom
VASP energy = -5.863 eV per atom
Crystal system = cubic

The structure in POSCAR format:
```
AcNdN
1.0
4.601 0.000 0.000
2.301 3.985 0.000
2.301 1.328 3.757
Nd Ac N
1 1 1
Direct
0.000 0.000 0.000
0.500 0.500 0.500
0.250 0.250 0.250
```

***

# 3
AcNd2N: relaxed, PBE.

Computed properties:
Magnetization = 0.000 μB/atom
Uncorrected formation energy = -0.027 eV/atom
VASP energy = -5.519 eV per atom
Crystal system = tetragonal

The structure in POSCAR format:
```
AcNd2N
1.0
-0.429 -1.845 2.786
0.771 -2.788 -1.727
8.746 1.123 2.091
Nd Ac N
2 1 1
Direct
0.000 0.000 0.838
0.000 0.000 0.162
0.500 0.500 0.500
0.500 0.500 0.000
```

***

# 4
AcNdN: relaxed, PBE.

Computed properties:
Magnetization = 0.000 μB/atom
Uncorrected formation energy = -0.823 eV/atom
VASP energy = -6.557 eV per atom
Crystal system = orthorhombic

The structure in POSCAR format:
```
AcNdN
1.0
-0.060 -3.722 -0.411
2.132 -0.552 4.680
-15.204 -0.513 6.864
N Ac Nd
4 4 4
Direct
0.250 0.750 0.058
0.750 0.250 0.942
0.250 0.750 0.558
0.750 0.250 0.442
0.750 0.750 0.166
0.250 0.250 0.834
0.250 0.250 0.334
0.750 0.750 0.666
0.750 0.750 0.953
0.250 0.250 0.547
0.250 0.250 0.047
0.750 0.750 0.453
```

***

# 5
Ac3Nd2NpN6: relaxed, PBE.

Computed properties:
Magnetization = 0.126 μB/atom
Uncorrected formation energy = -1.182 eV/atom
VASP energy = -8.245 eV per atom
Crystal system = monoclinic

The structure in POSCAR format:
```
Ac3Nd2NpN6
1.0
6.372 0.007 0.004
-3.179 5.522 0.004
-1.061 -1.837 6.142
N Ac Np Nd
6 3 1 2
Direct
0.775 0.775 0.220
0.069 0.360 0.205
0.931 0.640 0.795
0.225 0.225 0.780
0.640 0.931 0.795
0.360 0.069 0.205
0.500 0.500 0.500
0.832 0.168 0.500
0.168 0.832 0.500
0.000 0.000 0.000
0.666 0.334 0.000
0.334 0.666 0.000
```

***

# 6
AcNdNpN3: relaxed, PBE.

Computed properties:
Magnetization = 0.184 μB/atom
Uncorrected formation energy = -0.912 eV/atom
VASP energy = -8.711 eV per atom
Crystal system = monoclinic

The structure in POSCAR format:
```
AcNdNpN3
1.0
3.760 0.000 0.000
0.000 7.774 0.779
0.000 -2.191 8.274
Nd Ac Np N
2 2 2 6
Direct
0.750 0.374 0.841
0.250 0.626 0.159
0.750 0.826 0.849
0.250 0.174 0.151
0.250 0.059 0.586
0.750 0.941 0.414
0.250 0.793 0.431
0.750 0.893 0.158
0.250 0.602 0.877
0.750 0.207 0.569
0.750 0.398 0.123
0.250 0.107 0.842
```

***

# 7
Ac2Nd3NpN6: relaxed, PBE.

Computed properties:
Magnetization = 0.199 μB/atom
Uncorrected formation energy = -1.205 eV/atom
VASP energy = -8.323 eV per atom
Crystal system = monoclinic

The structure in POSCAR format:
```
Ac2Nd3NpN6
1.0
-0.842 -0.993 -6.323
5.530 -1.694 2.868
-3.814 -4.512 2.301
Nd N Ac Np
3 6 2 1
Direct
0.843 0.157 0.500
0.157 0.843 0.500
0.500 0.500 0.500
0.924 0.643 0.772
0.777 0.777 0.252
0.223 0.223 0.748
0.357 0.076 0.228
0.076 0.357 0.228
0.643 0.924 0.772
0.666 0.334 0.000
0.334 0.666 0.000
0.000 0.000 0.000
```

***

# 8
AcNd2NpN4: relaxed, PBE.

Computed properties:
Magnetization = 0.463 μB/atom
Uncorrected formation energy = -0.990 eV/atom
VASP energy = -8.476 eV per atom
Crystal system = orthorhombic

The structure in POSCAR format:
```
AcNd2NpN4
1.0
3.684 0.000 0.000
-1.842 6.279 0.000
0.000 0.000 12.900
Np Nd Ac N
2 4 2 8
Direct
0.858 0.717 0.750
0.142 0.283 0.250
0.371 0.742 0.970
0.371 0.742 0.530
0.629 0.258 0.030
0.629 0.258 0.470
0.874 0.748 0.250
0.126 0.252 0.750
0.000 0.000 0.000
0.460 0.920 0.750
0.260 0.520 0.124
0.260 0.520 0.376
0.540 0.080 0.250
0.740 0.480 0.624
0.000 0.000 0.500
0.740 0.480 0.876
```

***

# 9
Ac2NdNpN4: relaxed, PBE.

Computed properties:
Magnetization = 0.304 μB/atom
Uncorrected formation energy = -1.131 eV/atom
VASP energy = -8.534 eV per atom
Crystal system = monoclinic

The structure in POSCAR format:
```
Ac2NdNpN4
1.0
-0.805 -2.915 -2.087
1.077 -3.819 4.918
-6.262 1.710 0.027
Nd N Ac Np
1 4 2 1
Direct
0.500 0.500 0.000
0.500 0.784 0.794
0.500 0.216 0.206
0.000 0.226 0.796
0.000 0.774 0.204
0.000 0.500 0.500
0.500 0.000 0.500
0.000 0.000 0.000
```

***

# 10
Ac2NdOsN4: relaxed, PBE.

Computed properties:
Magnetization = 0.000 μB/atom
Uncorrected formation energy = -0.603 eV/atom
VASP energy = -7.792 eV per atom
Crystal system = orthorhombic

The structure in POSCAR format:
```
Ac2NdOsN4
1.0
3.589 0.000 0.000
-1.794 6.317 0.000
0.000 0.000 12.893
Os N Ac Nd
2 8 4 2
Direct
0.843 0.687 0.750
0.157 0.313 0.250
0.280 0.560 0.356
0.000 0.000 0.000
0.000 0.000 0.500
0.720 0.440 0.856
0.280 0.560 0.144
0.591 0.183 0.250
0.720 0.440 0.644
0.409 0.817 0.750
0.633 0.265 0.042
0.633 0.265 0.458
0.367 0.735 0.958
0.367 0.735 0.542
0.873 0.746 0.250
0.127 0.254 0.750
```

***

# 11
Ac3NdOs2N6: relaxed, PBE.

Computed properties:
Magnetization = 0.000 μB/atom
Uncorrected formation energy = -0.571 eV/atom
VASP energy = -8.029 eV per atom
Crystal system = trigonal

The structure in POSCAR format:
```
Ac3NdOs2N6
1.0
-4.175 -4.416 0.805
2.830 0.594 -5.405
5.005 -4.341 2.143
N Os Ac Nd
6 2 3 1
Direct
0.172 0.828 0.278
0.828 0.172 0.722
0.345 0.172 0.722
0.172 0.345 0.278
0.828 0.655 0.722
0.655 0.828 0.278
0.333 0.667 0.179
0.667 0.333 0.821
0.667 0.333 0.299
0.333 0.667 0.701
0.000 0.000 0.000
0.000 0.000 0.500
```

***

# 12
Ac2NdOs2N6: relaxed, PBE.

Computed properties:
Magnetization = 0.000 μB/atom
Uncorrected formation energy = -0.515 eV/atom
VASP energy = -8.278 eV per atom
Crystal system = trigonal

The structure in POSCAR format:
```
Ac2NdOs2N6
1.0
-0.546 -5.047 -2.964
4.792 -3.030 -1.554
1.175 -5.868 3.946
Ac N Os Nd
2 6 2 1
Direct
0.212 0.212 0.365
0.788 0.788 0.635
0.262 0.262 0.708
0.738 0.231 0.292
0.738 0.738 0.292
0.769 0.262 0.708
0.231 0.738 0.292
0.262 0.769 0.708
0.599 0.599 0.203
0.401 0.401 0.797
0.000 0.000 0.000
```

***

# 13
Ac2NdP2N6: relaxed, PBE.

Computed properties:
Magnetization = 0.079 μB/atom
Uncorrected formation energy = -0.863 eV/atom
VASP energy = -7.568 eV per atom
Crystal system = trigonal

The structure in POSCAR format:
```
Ac2NdP2N6
1.0
5.937 0.000 0.000
-2.968 5.141 0.000
0.000 0.000 6.311
Ac P N Nd
2 2 6 1
Direct
0.333 0.667 0.329
0.667 0.333 0.671
0.333 0.667 0.810
0.667 0.333 0.190
0.261 0.889 0.758
0.372 0.261 0.242
0.111 0.372 0.758
0.739 0.111 0.242
0.628 0.739 0.758
0.889 0.628 0.242
0.000 0.000 0.000
```

***

# 14
Ac2NdPaN4: relaxed, PBE.

Computed properties:
Magnetization = 0.000 μB/atom
Uncorrected formation energy = -1.336 eV/atom
VASP energy = -8.309 eV per atom
Crystal system = monoclinic

The structure in POSCAR format:
```
Ac2NdPaN4
1.0
-2.502 0.682 2.637
3.346 -3.546 4.092
2.089 6.196 0.379
N Nd Ac Pa
4 1 2 1
Direct
0.000 0.767 0.211
0.000 0.233 0.789
0.500 0.214 0.203
0.500 0.786 0.797
0.500 0.500 0.000
0.000 0.500 0.500
0.500 0.000 0.500
0.000 0.000 0.000
```

***

# 15
AcNdPaN3: relaxed, PBE.

Computed properties:
Magnetization = 0.000 μB/atom
Uncorrected formation energy = -0.989 eV/atom
VASP energy = -8.213 eV per atom
Crystal system = monoclinic

The structure in POSCAR format:
```
AcNdPaN3
1.0
3.858 0.000 0.000
0.000 7.691 0.701
0.000 -2.239 8.953
Ac N Pa Nd
2 6 2 2
Direct
0.250 0.171 0.138
0.750 0.829 0.862
0.250 0.101 0.849
0.750 0.899 0.151
0.250 0.602 0.886
0.750 0.398 0.114
0.250 0.800 0.396
0.750 0.200 0.604
0.750 0.934 0.393
0.250 0.066 0.607
0.250 0.625 0.147
0.750 0.375 0.853
```

***

# 16
AcNd3Pa2N6: relaxed, PBE.

Computed properties:
Magnetization = 0.000 μB/atom
Uncorrected formation energy = -1.443 eV/atom
VASP energy = -8.723 eV per atom
Crystal system = monoclinic

The structure in POSCAR format:
```
AcNd3Pa2N6
1.0
3.629 0.000 0.000
0.000 7.287 0.306
-1.814 -2.053 7.681
Nd Ac Pa N
3 1 2 6
Direct
0.169 0.838 0.339
0.500 0.500 0.000
0.831 0.162 0.661
0.500 0.000 0.000
0.169 0.335 0.337
0.831 0.665 0.663
0.023 0.275 0.046
0.671 0.119 0.342
0.977 0.725 0.954
0.326 0.438 0.652
0.674 0.562 0.348
0.329 0.881 0.658
```

***

# 17
Ac4NdPa3N8: relaxed, PBE.

Computed properties:
Magnetization = 0.000 μB/atom
Uncorrected formation energy = -1.396 eV/atom
VASP energy = -8.664 eV per atom
Crystal system = trigonal

The structure in POSCAR format:
```
Ac4NdPa3N8
1.0
-3.876 -2.013 5.859
5.638 -4.437 2.205
1.322 7.078 -1.251
Pa N Ac Nd
3 8 4 1
Direct
0.500 0.500 0.000
0.000 0.500 0.500
0.500 0.500 0.500
0.757 0.306 0.049
0.243 0.694 0.951
0.708 0.694 0.951
0.757 0.306 0.514
0.270 0.311 0.541
0.730 0.689 0.459
0.243 0.694 0.486
0.292 0.306 0.049
0.000 0.000 0.000
0.500 0.000 0.000
0.500 0.000 0.500
0.000 0.000 0.500
0.000 0.500 0.000
```

***

# 18
Ac3NdPb2N: relaxed, PBE.

Computed properties:
Magnetization = 0.000 μB/atom
Uncorrected formation energy = -0.722 eV/atom
VASP energy = -5.413 eV per atom
Crystal system = orthorhombic

The structure in POSCAR format:
```
Ac3NdPb2N
1.0
5.084 0.000 0.000
0.000 5.190 0.000
-2.542 -2.595 8.815
Nd Pb N Ac
1 2 1 3
Direct
0.500 0.000 0.000
0.361 0.361 0.723
0.639 0.639 0.277
0.000 0.000 0.000
0.836 0.836 0.672
0.164 0.164 0.328
0.000 0.500 0.000
```

***

# 19
AcNd2PbN: relaxed, PBE.

Computed properties:
Magnetization = 0.000 μB/atom
Uncorrected formation energy = -0.798 eV/atom
VASP energy = -5.934 eV per atom
Crystal system = tetragonal

The structure in POSCAR format:
```
AcNd2PbN
1.0
5.280 0.000 0.000
0.000 5.095 0.000
0.000 0.000 5.095
Ac Nd Pb N
1 2 1 1
Direct
0.500 0.000 0.000
0.000 0.500 0.000
0.000 0.000 0.500
0.500 0.500 0.500
0.000 0.000 0.000
```

***

# 20
AcPmNdN3: relaxed, PBE.

Computed properties:
Magnetization = 0.000 μB/atom
Uncorrected formation energy = -1.185 eV/atom
VASP energy = -7.618 eV per atom
Crystal system = monoclinic

The structure in POSCAR format:
```
AcPmNdN3
1.0
-1.247 -0.835 3.404
-4.845 -3.226 -2.565
6.680 -6.772 0.786
N Nd Pm Ac
6 2 2 2
Direct
0.750 0.028 0.150
0.750 0.535 0.171
0.250 0.465 0.829
0.250 0.972 0.850
0.250 0.754 0.484
0.750 0.246 0.516
0.750 0.229 0.956
0.250 0.771 0.044
0.750 0.851 0.358
0.250 0.149 0.642
0.750 0.656 0.699
0.250 0.344 0.301
```

***

# 21
AcPrNd2N4: relaxed, PBE.

Computed properties:
Magnetization = 0.000 μB/atom
Uncorrected formation energy = -1.239 eV/atom
VASP energy = -7.704 eV per atom
Crystal system = monoclinic

The structure in POSCAR format:
```
AcPrNd2N4
1.0
3.725 0.000 0.000
0.000 6.461 0.117
0.000 -2.258 6.058
Pr Nd N Ac
1 2 4 1
Direct
0.500 0.500 0.000
0.000 0.500 0.500
0.500 0.000 0.500
0.500 0.258 0.260
0.500 0.742 0.740
0.000 0.252 0.745
0.000 0.748 0.255
0.000 0.000 0.000
```

***

# 22
AcPr3Nd2N6: relaxed, PBE.

Computed properties:
Magnetization = 0.000 μB/atom
Uncorrected formation energy = -1.256 eV/atom
VASP energy = -7.751 eV per atom
Crystal system = monoclinic

The structure in POSCAR format:
```
AcPr3Nd2N6
1.0
-5.698 1.223 -2.752
3.101 -5.494 -1.316
-1.958 -1.285 5.992
N Pr Ac Nd
6 3 1 2
Direct
0.740 0.740 0.250
0.260 0.260 0.750
0.084 0.427 0.252
0.916 0.573 0.748
0.573 0.916 0.748
0.427 0.084 0.252
0.500 0.500 0.500
0.831 0.169 0.500
0.169 0.831 0.500
0.000 0.000 0.000
0.334 0.666 0.000
0.666 0.334 0.000
```

***

no.,calculated density (g/cm3)
1,6.929
2,9.286
3,8.547
4,7.914
5,9.906
6,8.697
7,9.349
8,8.998
9,10.365
10,9.595
11,9.452
12,9.340
13,6.416
14,10.072
15,7.874
16,9.749
17,10.743
18,8.950
19,8.924
20,8.390
21,8.058
22,7.781